(1)
Computed, not measured: a geometry-optimized Cs2MgTeS4 structure at the PBE-GGA level of DFT.

energy = -58.34 eV/cell
space-group type = Fddd (70)

a = 14.4756 Å, b = 12.8246 Å, c = 8.1187 Å
α = 84.26°, β = 61.82°, γ = 33.92°
Last column: nearest neighbours and their distance in Å.
Fractional positions:
Cs  0.0532  0.0532  0.6968  8 S 3.79-4.05
Cs  0.3032  0.3032  0.9468  8 S 3.79-4.05
Cs  0.6968  0.6968  0.0532  8 S 3.79-4.05
Cs  0.9468  0.9468  0.3032  8 S 3.79-4.05
Mg  0.1250  0.1250  0.1250  4 S 2.46
Mg  0.8750  0.8750  0.8750  4 S 2.46
Te  0.3750  0.3750  0.3750  4 S 2.56
Te  0.6250  0.6250  0.6250  4 S 2.56
S  0.0357  0.3153  0.4097  1 Mg 2.46, 1 Te 2.56
S  0.2607  0.5903  0.6847  1 Mg 2.46, 1 Te 2.56
S  0.3153  0.0357  0.7393  1 Mg 2.46, 1 Te 2.56
S  0.4097  0.7393  0.0357  1 Mg 2.46, 1 Te 2.56
S  0.5903  0.2607  0.9643  1 Mg 2.46, 1 Te 2.56
S  0.6847  0.9643  0.2607  1 Mg 2.46, 1 Te 2.56
S  0.7393  0.4097  0.3153  1 Mg 2.46, 1 Te 2.56
S  0.9643  0.6847  0.5903  1 Mg 2.46, 1 Te 2.56


(2)
Computed, not measured: a geometry-optimized Sc2Cr2MoC4 structure at the PBE-GGA level of DFT.

energy = -80.85 eV/cell
ΔE_f = -0.1348 eV/atom
space-group type = C2/m (12)

a = 6.1488 Å, b = 6.1488 Å, c = 5.7112 Å
α = 109.64°, β = 109.64°, γ = 29.69°
Last column: nearest neighbours and their distance in Å.
Fractional positions:
Sc  0.1325  0.1325  0.0336  5 C 2.33-2.46
Sc  0.8675  0.8675  0.9664  5 C 2.33-2.46
Cr  0.3269  0.3269  0.5123  4 C 1.92-2.06
Cr  0.6731  0.6731  0.4877  4 C 1.92-2.06
Mo  0.0000  0.0000  0.5000  6 C 2.23-2.42
C  0.2146  0.2146  0.7177  3 Cr 2.00-2.06
C  0.4844  0.4844  0.7639  1 Cr 1.92
C  0.5156  0.5156  0.2361  1 Cr 1.92
C  0.7854  0.7854  0.2823  3 Cr 2.00-2.06


(3)
Computed, not measured: a geometry-optimized YHfMo structure at the PBE-GGA level of DFT.

energy = -53.25 eV/cell
excess energy over the best structure of this formula in the dataset = 0.29 eV per formula unit
ΔE_f = 0.2080 eV/atom
space-group type = C2 (5)

a = 5.9934 Å, b = 5.9934 Å, c = 5.0810 Å
α = 93.96°, β = 93.96°, γ = 130.30°
Last column: nearest neighbours and their distance in Å.
Fractional positions:
Y  0.2226  0.2226  0.2534  3 Mo 2.99-3.30, 1 Y 3.12, 3 Hf 3.19-3.26
Y  0.7774  0.7774  0.7466  3 Mo 2.99-3.30, 1 Y 3.12, 3 Hf 3.19-3.26
Hf  0.5072  0.1050  0.7171  4 Mo 2.76-3.04
Hf  0.8950  0.4928  0.2829  4 Mo 2.76-3.04
Mo  0.1556  0.5170  0.7811  1 Mo 2.54, 2 Hf 2.76-2.82
Mo  0.4830  0.8444  0.2189  1 Mo 2.54, 2 Hf 2.76-2.82


(4)
Computed, not measured: a geometry-optimized Th2TcHg2 structure at the PBE-GGA level of DFT.

energy = -26.78 eV/cell
ΔE_f = -0.1945 eV/atom
space-group type = I4/mmm (139)

a = 10.7561 Å, b = 10.7561 Å, c = 10.7561 Å
α = 161.42°, β = 161.42°, γ = 26.39°
Last column: nearest neighbours and their distance in Å.
Fractional positions:
Th  0.0856  0.0856  0.0000  4 Tc 3.04
Th  0.9144  0.9144  0.0000  4 Tc 3.04
Tc  0.5000  0.5000  0.0000  8 Th 3.04
Hg  0.2992  0.2992  0.0000  8 Hg 3.21-3.47, 4 Th 3.44
Hg  0.7008  0.7008  0.0000  8 Hg 3.21-3.47, 4 Th 3.44


(5)
Computed, not measured: a geometry-optimized Zr2MnPt structure at the PBE-GGA level of DFT.

energy = -34.30 eV/cell
excess energy over the best structure of this formula in the dataset = 0.19 eV per formula unit
ΔE_f = -0.4976 eV/atom
space-group type = Pm (6)

a = 3.4807 Å, b = 4.1815 Å, c = 5.4622 Å
α = 90.00°, β = 108.50°, γ = 90.00°
Last column: nearest neighbours and their distance in Å.
Fractional positions:
Zr  0.0000  0.0000  0.0000  4 Mn 2.80, 3 Pt 2.84-2.92
Zr  0.2946  0.5000  0.5903  3 Mn 2.77-2.97, 4 Pt 2.81
Mn  0.5626  0.5000  0.1257  2 Pt 2.69, 7 Zr 2.77-2.97
Pt  0.7257  0.0000  0.4522  2 Mn 2.69, 7 Zr 2.81-2.92


(6)
Computed, not measured: a geometry-optimized AgHgSe2 structure at the PBE-GGA level of DFT.

energy = -9.27 eV/cell
space-group type = R-3m (166)

a = 11.0136 Å, b = 11.0136 Å, c = 11.0136 Å
α = 16.16°, β = 16.16°, γ = 16.16°
Last column: nearest neighbours and their distance in Å.
Fractional positions:
Ag  0.0000  0.0000  0.0000  6 Se 2.89, 6 Ag 3.10
Hg  0.5000  0.5000  0.5000  6 Hg 3.10, 2 Se 3.17
Se  0.4028  0.4028  0.4028  3 Ag 2.89, 6 Se 3.10, 1 Hg 3.17
Se  0.5972  0.5972  0.5972  3 Ag 2.89, 6 Se 3.10, 1 Hg 3.17


(7)
Computed, not measured: a geometry-optimized Na6Bi2H structure at the PBE-GGA level of DFT.

energy = -20.42 eV/cell
space-group type = Immm (71)

a = 9.3314 Å, b = 9.3314 Å, c = 9.3314 Å
α = 152.38°, β = 131.12°, γ = 57.06°
Last column: nearest neighbours and their distance in Å.
Fractional positions:
Na  0.0434  0.8284  0.2150  3 Bi 3.14-3.26, 1 H 3.27, 3 Na 3.32-3.44
Na  0.2501  0.5000  0.7501  2 H 2.95, 2 Bi 3.22
Na  0.3866  0.1716  0.2150  3 Bi 3.14-3.26, 1 H 3.27, 3 Na 3.32-3.44
Na  0.6134  0.8284  0.7850  3 Bi 3.14-3.26, 1 H 3.27, 3 Na 3.32-3.44
Na  0.7499  0.5000  0.2499  2 H 2.95, 2 Bi 3.22
Na  0.9566  0.1716  0.7850  3 Bi 3.14-3.26, 1 H 3.27, 3 Na 3.32-3.44
Bi  0.3425  0.3425  0.0000  8 Na 3.14-3.26
Bi  0.6575  0.6575  0.0000  8 Na 3.14-3.26
H  0.0000  0.0000  0.0000  8 Na 2.95-3.27


(8)
Computed, not measured: a geometry-optimized BeSbAu structure at the PBE-GGA level of DFT.

energy = -22.05 eV/cell
space-group type = P1 (1)

a = 4.1577 Å, b = 4.3674 Å, c = 6.4513 Å
α = 84.17°, β = 89.31°, γ = 89.60°
Last column: nearest neighbours and their distance in Å.
Fractional positions:
Be  0.0000  0.0000  0.0000  4 Au 2.40-2.60, 2 Be 2.46-2.48, 1 Sb 2.64
Be  0.4965  0.2811  0.8964  3 Au 2.31-2.34, 2 Be 2.46-2.48, 1 Sb 2.48
Sb  0.4954  0.8696  0.6592  1 Be 2.48, 2 Au 2.74-2.75
Sb  0.9945  0.5132  0.2795  1 Be 2.64
Au  0.4947  0.0346  0.2307  3 Be 2.31-2.57
Au  0.9958  0.5025  0.8104  4 Be 2.33-2.60


(9)
Computed, not measured: a geometry-optimized Tb5SmTm4 structure at the PBE-GGA level of DFT.

energy = -42.68 eV/cell
ΔE_f = 0.3072 eV/atom
space-group type = I4 (79)

a = 7.8210 Å, b = 7.8210 Å, c = 7.8210 Å
α = 99.33°, β = 99.33°, γ = 132.52°
Last column: nearest neighbours and their distance in Å.
Fractional positions:
Tb  0.0000  0.0000  0.0000  1 Sm 2.87
Tb  0.0377  0.4166  0.9099  4 Tm 3.20-3.49, 1 Tb 3.27, 1 Sm 3.27
Tb  0.1278  0.0377  0.6211  4 Tm 3.20-3.49, 1 Tb 3.27, 1 Sm 3.27
Tb  0.4166  0.5068  0.3789  4 Tm 3.20-3.49, 1 Tb 3.27, 1 Sm 3.27
Tb  0.5068  0.1278  0.0901  4 Tm 3.20-3.49, 1 Tb 3.27, 1 Sm 3.27
Sm  0.5445  0.5445  0.0000  1 Tb 2.87
Tm  0.1218  0.7235  0.2980  4 Tb 3.20-3.49, 1 Tm 3.24
Tm  0.4255  0.8238  0.7020  4 Tb 3.20-3.49, 1 Tm 3.24
Tm  0.7235  0.4255  0.6017  4 Tb 3.20-3.49, 1 Tm 3.24
Tm  0.8238  0.1218  0.3983  4 Tb 3.20-3.49, 1 Tm 3.24